A geometry-optimized Sc4AlCuRu2 structure. Source: Alexandria via LeMat-Bulk, functional PBE-GGA.

Summary:
Energy (eV per cell): -55.67
ΔE_f (meV per atom): -494
Space group: No. 166

Cell lengths 8.004, 8.004, 8.004 Å; angles 33.51, 33.51, 33.51 degrees
Fractional coordinates of all 8 atoms:
Sc1 0.122 0.122 0.122
Sc2 0.372 0.372 0.372
Sc3 0.628 0.628 0.628
Sc4 0.878 0.878 0.878
Al1 0.500 0.500 0.500
Cu1 0.000 0.000 0.000
Ru1 0.248 0.248 0.248
Ru2 0.752 0.752 0.752